Tb4Se3N2 | GGA-PBE | relaxed

Results
energy relative to the elements, uncorrected: -1681 meV/atom
total DFT energy (no corrections): -60.8 eV per formula unit
offset from the most stable computed form: 1.33 eV/f.u.
space group: C2/m

Geometry as POSCAR:
```
Tb4Se3N2
1.0
6.588 -1.784 0.000
6.588 1.784 0.000
-1.710 0.000 8.234
Tb Se N
4 3 2
Direct
0.088 0.088 0.190
0.326 0.326 0.395
0.674 0.674 0.605
0.912 0.912 0.810
0.000 0.000 0.500
0.400 0.400 0.089
0.600 0.600 0.911
0.299 0.299 0.662
0.701 0.701 0.338
```